one | # RbFe3Mo | the Alexandria database | GGA-PBE | relaxed
data_RbFe3Mo
_chemical_formula_sum 'Rb1 Fe3 Mo1'
_space_group_name_H-M_alt 'P 1'
_space_group_IT_number 1
_cell_length_a 4.802
_cell_length_b 4.802
_cell_length_c 4.802
_cell_angle_alpha 90.00
_cell_angle_beta 90.00
_cell_angle_gamma 90.00
loop_
_space_group_symop_operation_xyz
'x,y,z'
loop_
_atom_site_label
_atom_site_type_symbol
_atom_site_fract_x
_atom_site_fract_y
_atom_site_fract_z
Rb1 Rb 0.500 0.500 0.500
Mo1 Mo 0.000 0.000 0.000
Fe1 Fe 0.000 0.500 0.000
Fe2 Fe 0.500 0.000 0.000
Fe3 Fe 0.000 0.000 0.500
# Symmetry ... No. 221



two | # RbFe3Mo | the Alexandria database | GGA-PBE | relaxed
data_RbFe3Mo
_chemical_formula_sum 'Rb1 Fe3 Mo1'
_space_group_name_H-M_alt 'P 1'
_space_group_IT_number 1
_cell_length_a 4.588
_cell_length_b 4.588
_cell_length_c 4.588
_cell_angle_alpha 90.00
_cell_angle_beta 90.00
_cell_angle_gamma 90.00
loop_
_space_group_symop_operation_xyz
'x,y,z'
loop_
_atom_site_label
_atom_site_type_symbol
_atom_site_fract_x
_atom_site_fract_y
_atom_site_fract_z
Rb1 Rb 0.000 0.000 0.000
Mo1 Mo 0.500 0.500 0.500
Fe1 Fe 0.000 0.000 0.500
Fe2 Fe 0.500 0.000 0.000
Fe3 Fe 0.000 0.500 0.000
# Symmetry ... No. 221



Which one sits at the top of the stability order? one does.